1.
Below is a relaxed Ca2MgCu3 crystal, with properties calculated at the PBE level.

Lattice parameters (Å, degrees): 5.458 5.458 5.458 61.56 61.56 61.56
Element x y z (fractional)
1 Ca 0.124 0.124 0.124
2 Ca 0.876 0.876 0.876
3 Mg 0.500 0.500 0.500
4 Cu 0.000 0.500 0.500
5 Cu 0.500 0.000 0.500
6 Cu 0.500 0.500 0.000

- Energy above the most stable polymorph in this dataset: 0 meV/atom
- V: 118.99 Å³/cell
- Formation energy: -0.0816 eV/atom



2.
Below is a relaxed NaMgGa2Ni crystal, with properties calculated at the PBE level.

Lattice parameters (Å, degrees): 4.610 4.610 4.857 90.00 90.00 90.00
Element x y z (fractional)
1 Na 0.000 0.000 0.000
2 Mg 0.500 0.500 0.000
3 Ga 0.000 0.500 0.500
4 Ga 0.500 0.000 0.500
5 Ni 0.500 0.500 0.500

- Energy above the most stable polymorph in this dataset: 0 meV/atom
- V: 103.22 Å³/cell
- Formation energy: -0.1522 eV/atom



3.
Below is a relaxed PuTlZn2 crystal, with properties calculated at the PBE level.

Lattice parameters (Å, degrees): 3.269 3.269 8.351 90.00 90.00 90.00
Element x y z (fractional)
1 Pu 0.000 0.000 0.000
2 Tl 0.000 0.000 0.500
3 Zn 0.500 0.500 0.250
4 Zn 0.500 0.500 0.750

- Energy above the most stable polymorph in this dataset: 60 meV/atom
- V: 89.26 Å³/cell
- Formation energy: 0.0497 eV/atom



4.
Below is a relaxed TiReHIr2 crystal, with properties calculated at the PBE level.

Lattice parameters (Å, degrees): 3.902 3.902 4.005 90.00 90.00 90.00
Element x y z (fractional)
1 Ti 0.000 0.000 0.000
2 Re 0.500 0.500 0.000
3 H 0.000 0.000 0.500
4 Ir 0.000 0.500 0.500
5 Ir 0.500 0.000 0.500

- Raw total energy: -0.317 Ha/atom
- V: 60.98 Å³/cell